Entry 1:
# NiSeSN2

A relaxed structure of NiSeSN2 (PBE-GGA, Alexandria).

## Properties
- Relative energy among the computed polymorphs: 0 meV/atom
- Total moment: 0.33 μB per formula unit
- DOS(E_F): 3.61 states/eV per cell
- Electronic total energy: -4.786 eV per atom
- E_form (uncorrected): 1.2226 eV per atom

a = 3.5122 Å, b = 3.5122 Å, c = 7.7159 Å
α = 90.00°, β = 90.00°, γ = 90.00°
Fractional coordinates of all 5 atoms:
1 Ni 0.0000 0.0000 0.0000
2 Se 0.5000 0.5000 0.5000
3 S 0.0000 0.0000 0.5000
4 N 0.0000 0.5000 0.0000
5 N 0.5000 0.0000 0.0000



Entry 2:
# NiSeSN2

A relaxed structure of NiSeSN2 (PBE-GGA, Alexandria).

## Properties
- Relative energy among the computed polymorphs: 433 meV/atom
- Total moment: 1.16 μB per formula unit
- DOS(E_F): 5.37 states/eV per cell
- Electronic total energy: -4.353 eV per atom
- E_form (uncorrected): 1.6558 eV per atom

a = 3.5566 Å, b = 3.5566 Å, c = 6.5491 Å
α = 90.00°, β = 90.00°, γ = 90.00°
Fractional coordinates of all 5 atoms:
1 Ni 0.0000 0.0000 0.0000
2 Se 0.5000 0.5000 0.5000
3 S 0.5000 0.5000 0.0000
4 N 0.0000 0.5000 0.5000
5 N 0.5000 0.0000 0.5000



Entry 3:
# NiSeSN2

A relaxed structure of NiSeSN2 (PBE-GGA, Alexandria).

## Properties
- Relative energy among the computed polymorphs: 127 meV/atom
- Total moment: 0.03 μB per formula unit
- DOS(E_F): 4.95 states/eV per cell
- Electronic total energy: -4.659 eV per atom
- E_form (uncorrected): 1.3499 eV per atom

a = 3.3529 Å, b = 3.3529 Å, c = 7.1197 Å
α = 90.00°, β = 90.00°, γ = 90.00°
Fractional coordinates of all 5 atoms:
1 Ni 0.0000 0.0000 0.0000
2 Se 0.5000 0.5000 0.0000
3 S 0.5000 0.5000 0.5000
4 N 0.0000 0.5000 0.5000
5 N 0.5000 0.0000 0.5000



Entry 4:
# SiNiS2N

A relaxed structure of SiNiS2N (PBE-GGA, Alexandria).

## Properties
- Relative energy among the computed polymorphs: 169 meV/atom
- Total moment: 0.38 μB per formula unit
- DOS(E_F): 3.21 states/eV per cell
- Electronic total energy: -4.849 eV per atom
- E_form (uncorrected): 0.7075 eV per atom

a = 4.6845 Å, b = 4.6845 Å, c = 3.4182 Å
α = 90.00°, β = 90.00°, γ = 90.00°
Fractional coordinates of all 5 atoms:
1 Si 0.0000 0.0000 0.0000
2 Ni 0.5000 0.5000 0.5000
3 S 0.0000 0.5000 0.5000
4 S 0.5000 0.0000 0.5000
5 N 0.5000 0.5000 0.0000



Entry 5:
# SiNiS2N

A relaxed structure of SiNiS2N (PBE-GGA, Alexandria).

## Properties
- Relative energy among the computed polymorphs: 0 meV/atom
- Total moment: 1.44 μB per formula unit
- DOS(E_F): 4.30 states/eV per cell
- Electronic total energy: -5.018 eV per atom
- E_form (uncorrected): 0.5385 eV per atom

a = 4.7216 Å, b = 4.7216 Å, c = 3.2555 Å
α = 90.00°, β = 90.00°, γ = 90.00°
Fractional coordinates of all 5 atoms:
1 Si 0.0000 0.0000 0.0000
2 Ni 0.5000 0.5000 0.5000
3 S 0.0000 0.5000 0.0000
4 S 0.5000 0.0000 0.0000
5 N 0.0000 0.0000 0.5000



Entry 6:
# NiSnS2N

A relaxed structure of NiSnS2N (PBE-GGA, Alexandria).

## Properties
- Relative energy among the computed polymorphs: 813 meV/atom
- Total moment: 3.09 μB per formula unit
- DOS(E_F): 5.36 states/eV per cell
- Electronic total energy: -4.092 eV per atom
- E_form (uncorrected): 1.1813 eV per atom

a = 5.0428 Å, b = 5.0428 Å, c = 4.0068 Å
α = 90.00°, β = 90.00°, γ = 90.00°
Fractional coordinates of all 5 atoms:
1 Ni 0.0000 0.0000 0.0000
2 Sn 0.5000 0.5000 0.5000
3 S 0.0000 0.5000 0.5000
4 S 0.5000 0.0000 0.5000
5 N 0.5000 0.5000 0.0000



Entry 7:
# NiSnS2N

A relaxed structure of NiSnS2N (PBE-GGA, Alexandria).

## Properties
- Relative energy among the computed polymorphs: 0 meV/atom
- Total moment: 0.48 μB per formula unit
- DOS(E_F): 2.32 states/eV per cell
- Electronic total energy: -4.905 eV per atom
- E_form (uncorrected): 0.3683 eV per atom

a = 4.8321 Å, b = 4.8321 Å, c = 3.4920 Å
α = 90.00°, β = 90.00°, γ = 90.00°
Fractional coordinates of all 5 atoms:
1 Ni 0.0000 0.0000 0.0000
2 Sn 0.5000 0.5000 0.5000
3 S 0.0000 0.5000 0.0000
4 S 0.5000 0.0000 0.0000
5 N 0.0000 0.0000 0.5000



Entry 8:
# Sr2NiSN

A relaxed structure of Sr2NiSN (PBE-GGA, Alexandria).

## Properties
- Relative energy among the computed polymorphs: 0 meV/atom
- Total moment: 0.41 μB per formula unit
- DOS(E_F): 1.70 states/eV per cell
- Electronic total energy: -5.390 eV per atom
- E_form (uncorrected): -1.0706 eV per atom

a = 5.2853 Å, b = 5.2853 Å, c = 3.6135 Å
α = 90.00°, β = 90.00°, γ = 90.00°
Fractional coordinates of all 5 atoms:
1 Sr 0.0000 0.5000 0.0000
2 Sr 0.5000 0.0000 0.0000
3 Ni 0.0000 0.0000 0.5000
4 S 0.5000 0.5000 0.5000
5 N 0.0000 0.0000 0.0000



Entry 9:
# SrNiS2N

A relaxed structure of SrNiS2N (PBE-GGA, Alexandria).

## Properties
- Relative energy among the computed polymorphs: 0 meV/atom
- Total moment: 0.21 μB per formula unit
- DOS(E_F): 3.66 states/eV per cell
- Electronic total energy: -5.133 eV per atom
- E_form (uncorrected): -0.3243 eV per atom

a = 4.9248 Å, b = 4.9248 Å, c = 3.5590 Å
α = 90.00°, β = 90.00°, γ = 90.00°
Fractional coordinates of all 5 atoms:
1 Sr 0.0000 0.0000 0.0000
2 Ni 0.5000 0.5000 0.5000
3 S 0.0000 0.5000 0.5000
4 S 0.5000 0.0000 0.5000
5 N 0.5000 0.5000 0.0000



Entry 10:
# Sr2NiSN

A relaxed structure of Sr2NiSN (PBE-GGA, Alexandria).

## Properties
- Relative energy among the computed polymorphs: 1314 meV/atom
- Total moment: 0.18 μB per formula unit
- DOS(E_F): 4.24 states/eV per cell
- Electronic total energy: -4.076 eV per atom
- E_form (uncorrected): 0.2434 eV per atom

a = 5.5961 Å, b = 5.5961 Å, c = 3.7313 Å
α = 90.00°, β = 90.00°, γ = 90.00°
Fractional coordinates of all 5 atoms:
1 Sr 0.0000 0.5000 0.0000
2 Sr 0.5000 0.0000 0.0000
3 Ni 0.0000 0.0000 0.5000
4 S 0.5000 0.5000 0.0000
5 N 0.5000 0.5000 0.5000



Entry 11:
# SrNiS2N

A relaxed structure of SrNiS2N (PBE-GGA, Alexandria).

## Properties
- Relative energy among the computed polymorphs: 1677 meV/atom
- Total moment: 5.02 μB per formula unit
- DOS(E_F): 9.87 states/eV per cell
- Electronic total energy: -3.456 eV per atom
- E_form (uncorrected): 1.3522 eV per atom

a = 5.5788 Å, b = 5.5788 Å, c = 4.7778 Å
α = 90.00°, β = 90.00°, γ = 90.00°
Fractional coordinates of all 5 atoms:
1 Sr 0.0000 0.0000 0.0000
2 Ni 0.5000 0.5000 0.5000
3 S 0.0000 0.5000 0.0000
4 S 0.5000 0.0000 0.0000
5 N 0.0000 0.0000 0.5000



Entry 12:
# TaNiS2N

A relaxed structure of TaNiS2N (PBE-GGA, Alexandria).

## Properties
- Relative energy among the computed polymorphs: 307 meV/atom
- Total moment: 0.00 μB per formula unit
- DOS(E_F): 5.82 states/eV per cell
- Electronic total energy: -6.225 eV per atom
- E_form (uncorrected): 0.6174 eV per atom

a = 4.5740 Å, b = 4.5740 Å, c = 3.3960 Å
α = 90.00°, β = 90.00°, γ = 90.00°
Fractional coordinates of all 5 atoms:
1 Ta 0.0000 0.0000 0.0000
2 Ni 0.5000 0.5000 0.5000
3 S 0.0000 0.5000 0.5000
4 S 0.5000 0.0000 0.5000
5 N 0.5000 0.5000 0.0000



Q: Number 2 is which compound?
A: NiSeSN2



Q: Which formula does entry 7 have?
A: NiSnS2N



What did the third record say?
# NiSeSN2

A relaxed structure of NiSeSN2 (PBE-GGA, Alexandria).

## Properties
- Relative energy among the computed polymorphs: 127 meV/atom
- Total moment: 0.03 μB per formula unit
- DOS(E_F): 4.95 states/eV per cell
- Electronic total energy: -4.659 eV per atom
- E_form (uncorrected): 1.3499 eV per atom

a = 3.3529 Å, b = 3.3529 Å, c = 7.1197 Å
α = 90.00°, β = 90.00°, γ = 90.00°
Fractional coordinates of all 5 atoms:
1 Ni 0.0000 0.0000 0.0000
2 Se 0.5000 0.5000 0.0000
3 S 0.5000 0.5000 0.5000
4 N 0.0000 0.5000 0.5000
5 N 0.5000 0.0000 0.5000



Q: What is the formula in the seventh record?
A: NiSnS2N